Material: SrCdCl2
Method: DFT, meta-GGA SCAN
State: PBEsol geometry

It has space group P4mm (No. 99), with a = 4.0341 Å, b = 4.0341 Å, c = 6.3004 Å, α = 90.00°, β = 90.00° and γ = 90.00°. The asymmetric unit holds Sr at (0.0000, 0.0000, 0.0000), Cd at (0.5000, 0.5000, 0.3668), Cl at (0.0000, 0.0000, 0.5339) and Cl at (0.5000, 0.5000, 0.8297).

The raw formation energy is -1.579 eV/atom. The value obtained for the total energy is -74.96 eV per cell. The value obtained for the density is 4.39 g/cm³.